The following is a DFT calculation (PBE-GGA) of a geometry-optimized LiAl structure.

energy of formation from the pure elements: 0.908 eV/atom
space-group type: Pm-3n
magnetization: 0.0 μB/cell
DFT total energy: -1.920 eV/atom

Lattice parameters (Å, degrees): 7.3723 7.3723 7.3723 90.00 90.00 90.00
Fractional positions:
Li  0.0000  0.7500  0.5000
Al  0.0000  0.5000  0.7500
Al  0.5000  0.2500  0.0000
Al  0.0000  0.5000  0.2500
Li  0.5000  0.0000  0.2500
Li  0.7500  0.5000  0.0000
Li  0.2500  0.5000  0.0000
Al  0.2500  0.0000  0.5000
Al  0.5000  0.7500  0.0000
Li  0.0000  0.2500  0.5000
Al  0.7500  0.0000  0.5000
Li  0.5000  0.0000  0.7500

***

The following is a DFT calculation (PBE-GGA) of a geometry-optimized Y2ReNi structure.

energy of formation from the pure elements: 0.352 eV/atom
space-group type: R-3m
magnetization: 0.0 μB/cell
DFT total energy: -7.437 eV/atom

Lattice parameters (Å, degrees): 8.4048 8.4048 8.4048 23.70 23.70 23.70
Fractional positions:
Y  0.9978  0.9978  0.9978
Ni  0.2500  0.2500  0.2500
Re  0.7500  0.7500  0.7500
Y  0.5022  0.5022  0.5022

***

The following is a DFT calculation (PBE-GGA) of a geometry-optimized Pm3Sm2Y8 structure.

energy of formation from the pure elements: 0.230 eV/atom
space-group type: C2/m
magnetization: 0.0 μB/cell
distance to the lowest polymorph of the same formula: 0.0 meV/atom
DFT total energy: -5.570 eV/atom

Lattice parameters (Å, degrees): 6.9335 9.5943 9.5943 57.58 61.54 61.54
Fractional positions:
Pm  0.5000  0.0000  0.0000
Sm  0.5018  0.7873  0.7873
Y  0.4427  0.4382  0.7984
Y  0.5573  0.2016  0.5618
Pm  0.0000  0.8262  0.1738
Y  0.4427  0.7984  0.4382
Y  0.0145  0.1912  0.1912
Pm  0.0000  0.1738  0.8262
Y  0.9855  0.8088  0.8088
Y  0.5573  0.5618  0.2016
Sm  0.4982  0.2127  0.2127
Y  0.9446  0.4144  0.4144
Y  0.0554  0.5856  0.5856

***

The following is a DFT calculation (PBE-GGA) of a geometry-optimized BaFe2CuI8 structure.

space-group type: P-3
magnetization: 9.0 μB/cell
uncorrected formation energy: -0.479 eV per atom
DFT total energy: -3.424 eV/atom

Lattice parameters (Å, degrees): 7.2707 7.2707 9.8744 90.00 90.00 120.00
Site moments in Bohr magnetons follow the coordinates.
Fractional positions:
I  0.9966  0.6901  0.3223  0.13
I  0.3333  0.6667  0.0059  0.13
Fe  0.6667  0.3333  0.2558  3.38
I  0.0034  0.3099  0.6777  0.13
Ba  0.0000  0.0000  0.0000  0.01
Cu  0.0000  0.0000  0.5000  0.17
I  0.6935  0.0034  0.3223  0.13
I  0.3065  0.9966  0.6777  0.13
Fe  0.3333  0.6667  0.7442  3.38
I  0.3099  0.3065  0.3223  0.13
I  0.6667  0.3333  0.9941  0.13
I  0.6901  0.6935  0.6777  0.13